{"formula": "Pm5Dy2Tm", "functional": "PBE", "state": "relaxed", "lattice_angstrom": [[7.206, 0.000, 0.000], [0.000, 14.420, 0.000], [0.000, 0.000, 5.089]], "species": ["Pm", "Pm", "Pm", "Pm", "Pm", "Pm", "Pm", "Pm", "Pm", "Pm", "Dy", "Dy", "Dy", "Dy", "Tm", "Tm"], "fractional_positions": [[0.000, 0.000, 0.000], [0.001, 0.251, 0.000], [0.249, 0.624, 0.500], [0.251, 0.124, 0.500], [0.499, 0.751, 0.000], [0.500, 0.500, 0.000], [0.501, 0.249, 0.000], [0.749, 0.876, 0.500], [0.751, 0.376, 0.500], [0.999, 0.749, 0.000], [0.250, 0.376, 0.500], [0.250, 0.876, 0.500], [0.750, 0.124, 0.500], [0.750, 0.624, 0.500], [0.000, 0.500, 0.000], [0.500, 0.000, 0.000]], "density_g_cm3": 7.7, "sg": "No. 55"}

{"formula": "Pm2DyTm8", "functional": "PBE", "state": "relaxed", "lattice_angstrom": [[-2.727, 3.996, 7.953], [2.727, -3.996, 7.953], [2.727, 3.996, -7.953]], "species": ["Pm", "Pm", "Dy", "Tm", "Tm", "Tm", "Tm", "Tm", "Tm", "Tm", "Tm"], "fractional_positions": [[0.201, 0.201, 0.000], [0.799, 0.799, 0.000], [0.500, 0.500, 0.000], [0.071, 0.362, 0.709], [0.209, 0.000, 0.209], [0.340, 0.840, 0.500], [0.347, 0.638, 0.709], [0.653, 0.362, 0.291], [0.660, 0.160, 0.500], [0.791, 0.000, 0.791], [0.929, 0.638, 0.291]], "density_g_cm3": 8.6, "sg": "No. 71"}

{"formula": "Pm2Dy5Tm6", "functional": "PBE", "state": "relaxed", "lattice_angstrom": [[11.586, 0.000, 0.000], [0.000, 20.088, 0.000], [0.000, 0.000, 3.551]], "species": ["Pm", "Pm", "Pm", "Pm", "Dy", "Dy", "Dy", "Dy", "Dy", "Dy", "Dy", "Dy", "Dy", "Dy", "Tm", "Tm", "Tm", "Tm", "Tm", "Tm", "Tm", "Tm", "Tm", "Tm", "Tm", "Tm"], "fractional_positions": [[0.168, 0.214, 0.000], [0.332, 0.714, 0.000], [0.668, 0.286, 0.000], [0.832, 0.786, 0.000], [0.000, 0.500, 0.500], [0.091, 0.777, 0.500], [0.200, 0.050, 0.500], [0.300, 0.550, 0.500], [0.409, 0.277, 0.500], [0.500, 0.000, 0.500], [0.591, 0.723, 0.500], [0.700, 0.450, 0.500], [0.800, 0.950, 0.500], [0.909, 0.223, 0.500], [0.059, 0.921, 0.000], [0.079, 0.633, 0.000], [0.178, 0.371, 0.500], [0.322, 0.871, 0.500], [0.421, 0.133, 0.000], [0.441, 0.421, 0.000], [0.559, 0.579, 0.000], [0.579, 0.867, 0.000], [0.678, 0.129, 0.500], [0.822, 0.629, 0.500], [0.921, 0.367, 0.000], [0.941, 0.079, 0.000]], "density_g_cm3": 8.5, "sg": "No. 55"}

no.,final energy (eV/atom)
1,-4.6617
2,-4.4154
3,-4.4636